Material: ErVMo2
Method: DFT, PBE
State: optimized geometry

Output
energy relative to the elements: 0.415 eV per atom
total magnetization: 0.0 μB per cell

Lattice parameters (Å, degrees): 3.0868 3.0868 25.9990 90.00 90.00 120.00
Space group R-3m (No. 166, hexagonal axes)
Symmetry-distinct sites (fractional):
Er 0.0000 0.0000 0.0000
V 0.0000 0.0000 0.5000
Mo 0.0000 0.0000 0.2377